1.
! CsReSn3 (GGA-PBE, optimized geometry); values from VASP
&SYSTEM
  ibrav = 0, nat = 5, ntyp = 3
/
ATOMIC_SPECIES
Sn 118.71 Sn.upf
Re 186.21 Re.upf
Cs 132.91 Cs.upf
ATOMIC_POSITIONS angstrom
Sn 0.000 0.000 2.657
Sn 2.657 0.000 0.000
Sn 0.000 2.657 0.000
Re 0.000 0.000 0.000
Cs 2.657 2.657 2.657
CELL_PARAMETERS angstrom
5.315 0.000 0.000
0.000 5.315 0.000
0.000 0.000 5.315
! Excess energy over the best structure of this formula in the dataset ... 0 meV per atom
! Uncorrected energy ... -4.82 eV/atom
! Formation energy ... 1.2 eV/f.u.



2.
! Y4Ga12Ge (GGA-PBE, optimized geometry); values from VASP
&SYSTEM
  ibrav = 0, nat = 17, ntyp = 3
/
ATOMIC_SPECIES
Ga 69.72 Ga.upf
Y 88.91 Y.upf
Ge 72.64 Ge.upf
ATOMIC_POSITIONS angstrom
Ga 2.482 4.299 -3.510
Ga 4.483 1.553 1.268
Ga -1.104 1.912 1.561
Ga 1.104 1.912 -1.561
Ga 2.208 0.000 1.561
Ga -2.482 4.299 3.510
Ga 2.690 1.553 3.804
Ga 4.965 0.000 3.510
Ga 0.000 3.106 3.804
Ga 0.897 4.658 -1.268
Ga -0.897 4.658 1.268
Ga 3.586 3.106 -1.268
Y -1.793 3.106 -1.268
Y 0.000 0.000 3.804
Y 1.793 3.106 1.268
Y 3.586 0.000 -1.268
Ge 0.000 0.000 0.000
CELL_PARAMETERS angstrom
7.172 0.000 -2.536
-3.586 6.211 -2.536
0.000 0.000 7.607
! Uncorrected energy ... -4.39 eV/atom
! Formation energy ... -7.8 eV/f.u.